Entry 1:
Material: NdDy2In3Ni3
Method: DFT, GGA-PBE
State: relaxed

```
data_NdDy2In3Ni3
_chemical_formula_sum 'Nd2 Dy4 In6 Ni6'
_symmetry_space_group_name_H-M 'A m m 2'
_symmetry_Int_Tables_number 38
_cell_length_a 3.8297
_cell_length_b 12.9232
_cell_length_c 7.4986
_cell_angle_alpha 90.00
_cell_angle_beta 90.00
_cell_angle_gamma 90.00
loop_
_symmetry_equiv_pos_as_xyz
'x,y,z'
'-x,-y,z'
'-x,y,z'
'x,-y,z'
'x,y+1/2,z+1/2'
'-x,-y+1/2,z+1/2'
'-x,y+1/2,z+1/2'
'x,-y+1/2,z+1/2'
loop_
_atom_site_label
_atom_site_type_symbol
_atom_site_fract_x
_atom_site_fract_y
_atom_site_fract_z
Nd1 Nd 0.0000 0.0000 0.0000
Dy1 Dy 0.0000 0.2052 0.3821
In1 In 0.5000 0.0000 0.3392
In2 In 0.5000 0.1284 0.7111
Ni1 Ni 0.0000 0.0000 0.5857
Ni2 Ni 0.5000 0.1687 0.0882
```


Entry 2:
Material: NdDyIn2Pt4
Method: DFT, GGA-PBE
State: relaxed

```
data_NdDyIn2Pt4
_chemical_formula_sum 'Nd1 Dy1 In2 Pt4'
_symmetry_space_group_name_H-M 'P -6 m 2'
_symmetry_Int_Tables_number 187
_symmetry_space_group_name_Hall 'P -6 2'
_cell_length_a 4.6115
_cell_length_b 4.6115
_cell_length_c 9.1799
_cell_angle_alpha 90.00
_cell_angle_beta 90.00
_cell_angle_gamma 120.00
loop_
_atom_site_label
_atom_site_type_symbol
_atom_site_fract_x
_atom_site_fract_y
_atom_site_fract_z
Nd1 Nd 0.0000 0.0000 0.0000
Dy1 Dy 0.6667 0.3333 0.5000
In1 In 0.3333 0.6667 0.2532
Pt1 Pt 0.0000 0.0000 0.3456
Pt2 Pt 0.6667 0.3333 0.1659
```


Entry 3:
Material: DyIn2Ni9
Method: DFT, GGA-PBE
State: relaxed

```
data_DyIn2Ni9
_chemical_formula_sum 'Dy2 In4 Ni18'
_symmetry_space_group_name_H-M 'P 4/m b m'
_symmetry_Int_Tables_number 127
_symmetry_space_group_name_Hall '-P 4 2ab'
_cell_length_a 8.2154
_cell_length_b 8.2154
_cell_length_c 4.8085
_cell_angle_alpha 90.00
_cell_angle_beta 90.00
_cell_angle_gamma 90.00
loop_
_atom_site_label
_atom_site_type_symbol
_atom_site_fract_x
_atom_site_fract_y
_atom_site_fract_z
Dy1 Dy 0.0000 0.0000 0.0000
In1 In 0.1246 0.3754 0.0000
Ni1 Ni 0.0000 0.5000 0.5000
Ni2 Ni 0.0637 0.2059 0.5000
Ni3 Ni 0.1765 0.6765 0.2480
```


Entry 4:
Material: Dy5In4Ni2
Method: DFT, GGA-PBE
State: relaxed

```
data_Dy5In4Ni2
_chemical_formula_sum 'Dy10 In8 Ni4'
_symmetry_space_group_name_H-M 'P b a m'
_symmetry_Int_Tables_number 55
_cell_length_a 7.9633
_cell_length_b 17.9758
_cell_length_c 3.6251
_cell_angle_alpha 90.00
_cell_angle_beta 90.00
_cell_angle_gamma 90.00
loop_
_symmetry_equiv_pos_as_xyz
'x,y,z'
'-x,-y,-z'
'-x,-y,z'
'x,y,-z'
'x+1/2,-y+1/2,-z'
'-x+1/2,y+1/2,z'
'-x+1/2,y+1/2,-z'
'x+1/2,-y+1/2,z'
loop_
_atom_site_label
_atom_site_type_symbol
_atom_site_fract_x
_atom_site_fract_y
_atom_site_fract_z
Dy1 Dy 0.0000 0.0000 0.0000
Dy2 Dy 0.1170 0.4138 0.0000
Dy3 Dy 0.2451 0.2207 0.0000
In1 In 0.0735 0.8476 0.5000
In2 In 0.2072 0.5696 0.5000
Ni1 Ni 0.0257 0.3042 0.5000
```


Entry 5:
Material: Dy6InNi2
Method: DFT, GGA-PBE
State: relaxed

```
data_Dy6InNi2
_chemical_formula_sum 'Dy24 In4 Ni8'
_symmetry_space_group_name_H-M 'I m m m'
_symmetry_Int_Tables_number 71
_symmetry_space_group_name_Hall '-I 2 2'
_cell_length_a 9.2947
_cell_length_b 9.7066
_cell_length_c 10.1112
_cell_angle_alpha 90.00
_cell_angle_beta 90.00
_cell_angle_gamma 90.00
loop_
_atom_site_label
_atom_site_type_symbol
_atom_site_fract_x
_atom_site_fract_y
_atom_site_fract_z
Dy1 Dy 0.0000 0.2035 0.2333
Dy2 Dy 0.1924 0.5000 0.1761
Dy3 Dy 0.2083 0.3166 0.5000
In1 In 0.0000 0.0000 0.0000
In2 In 0.0000 0.0000 0.5000
Ni1 Ni 0.0000 0.3532 0.0000
Ni2 Ni 0.0000 0.5000 0.3777
```


Entry 6:
Material: Dy12InNi6
Method: DFT, GGA-PBE
State: relaxed

```
data_Dy12InNi6
_chemical_formula_sum 'Dy24 In2 Ni12'
_symmetry_space_group_name_H-M 'I m -3'
_symmetry_Int_Tables_number 204
_symmetry_space_group_name_Hall '-I 2 2 3'
_cell_length_a 9.6851
_cell_length_b 9.6851
_cell_length_c 9.6851
_cell_angle_alpha 90.00
_cell_angle_beta 90.00
_cell_angle_gamma 90.00
loop_
_atom_site_label
_atom_site_type_symbol
_atom_site_fract_x
_atom_site_fract_y
_atom_site_fract_z
Dy1 Dy 0.0000 0.1871 0.3033
In1 In 0.0000 0.0000 0.0000
Ni1 Ni 0.0000 0.3768 0.5000
```


Entry 7:
Material: Dy11In9Ni4
Method: DFT, GGA-PBE
State: relaxed

```
data_Dy11In9Ni4
_chemical_formula_sum 'Dy22 In18 Ni8'
_symmetry_space_group_name_H-M 'C m m m'
_symmetry_Int_Tables_number 65
_symmetry_space_group_name_Hall '-C 2 2'
_cell_length_a 14.4377
_cell_length_b 21.6493
_cell_length_c 3.6361
_cell_angle_alpha 90.00
_cell_angle_beta 90.00
_cell_angle_gamma 90.00
loop_
_atom_site_label
_atom_site_type_symbol
_atom_site_fract_x
_atom_site_fract_y
_atom_site_fract_z
Dy1 Dy 0.0000 0.0000 0.0000
Dy2 Dy 0.0000 0.1609 0.0000
Dy3 Dy 0.0000 0.3747 0.0000
Dy4 Dy 0.1873 0.5000 0.0000
Dy5 Dy 0.2481 0.1683 0.0000
In1 In 0.0000 0.5000 0.5000
In2 In 0.1048 0.2634 0.5000
In3 In 0.1482 0.0709 0.5000
Ni1 Ni 0.1516 0.3991 0.5000
```


Entry 8:
Material: Dy3In3Ni2Pd
Method: DFT, GGA-PBE
State: relaxed

```
data_Dy3In3Ni2Pd
_chemical_formula_sum 'Dy3 In3 Ni2 Pd1'
_symmetry_space_group_name_H-M 'P -6 2 m'
_symmetry_Int_Tables_number 189
_symmetry_space_group_name_Hall 'P -6 -2'
_cell_length_a 7.4920
_cell_length_b 7.4920
_cell_length_c 3.8596
_cell_angle_alpha 90.00
_cell_angle_beta 90.00
_cell_angle_gamma 120.00
loop_
_atom_site_label
_atom_site_type_symbol
_atom_site_fract_x
_atom_site_fract_y
_atom_site_fract_z
Dy1 Dy 0.0000 0.5890 0.0000
In1 In 0.0000 0.2649 0.5000
Ni1 Ni 0.3333 0.6667 0.5000
Pd1 Pd 0.0000 0.0000 0.0000
```


Entry 9:
Material: Dy3In3NiPd2
Method: DFT, GGA-PBE
State: relaxed

```
data_Dy3In3NiPd2
_chemical_formula_sum 'Dy3 In3 Ni1 Pd2'
_symmetry_space_group_name_H-M 'P -6 2 m'
_symmetry_Int_Tables_number 189
_symmetry_space_group_name_Hall 'P -6 -2'
_cell_length_a 7.5708
_cell_length_b 7.5708
_cell_length_c 3.8873
_cell_angle_alpha 90.00
_cell_angle_beta 90.00
_cell_angle_gamma 120.00
loop_
_atom_site_label
_atom_site_type_symbol
_atom_site_fract_x
_atom_site_fract_y
_atom_site_fract_z
Dy1 Dy 0.0000 0.5923 0.0000
In1 In 0.0000 0.2463 0.5000
Ni1 Ni 0.0000 0.0000 0.0000
Pd1 Pd 0.3333 0.6667 0.5000
```


Entry 10:
Material: PrDyIn2Ni4
Method: DFT, GGA-PBE
State: relaxed

```
data_PrDyIn2Ni4
_chemical_formula_sum 'Pr1 Dy1 In2 Ni4'
_symmetry_space_group_name_H-M 'P m m 2'
_symmetry_Int_Tables_number 25
_cell_length_a 4.0566
_cell_length_b 5.1608
_cell_length_c 7.1006
_cell_angle_alpha 90.00
_cell_angle_beta 90.00
_cell_angle_gamma 90.00
loop_
_symmetry_equiv_pos_as_xyz
'x,y,z'
'-x,-y,z'
'-x,y,z'
'x,-y,z'
loop_
_atom_site_label
_atom_site_type_symbol
_atom_site_fract_x
_atom_site_fract_y
_atom_site_fract_z
Pr1 Pr 0.0000 0.0000 0.0000
Dy1 Dy 0.0000 0.5000 0.5453
In1 In 0.5000 0.0000 0.6217
In2 In 0.5000 0.5000 0.9266
Ni1 Ni 0.0000 0.0000 0.3886
Ni2 Ni 0.0000 0.5000 0.1730
Ni3 Ni 0.5000 0.2543 0.2808
```


Entry 11:
Material: PrDy2In3Ni3
Method: DFT, GGA-PBE
State: relaxed

```
data_PrDy2In3Ni3
_chemical_formula_sum 'Pr2 Dy4 In6 Ni6'
_symmetry_space_group_name_H-M 'A m m 2'
_symmetry_Int_Tables_number 38
_cell_length_a 3.8413
_cell_length_b 12.9418
_cell_length_c 7.5075
_cell_angle_alpha 90.00
_cell_angle_beta 90.00
_cell_angle_gamma 90.00
loop_
_symmetry_equiv_pos_as_xyz
'x,y,z'
'-x,-y,z'
'-x,y,z'
'x,-y,z'
'x,y+1/2,z+1/2'
'-x,-y+1/2,z+1/2'
'-x,y+1/2,z+1/2'
'x,-y+1/2,z+1/2'
loop_
_atom_site_label
_atom_site_type_symbol
_atom_site_fract_x
_atom_site_fract_y
_atom_site_fract_z
Pr1 Pr 0.0000 0.0000 0.0000
Dy1 Dy 0.0000 0.2053 0.3816
In1 In 0.5000 0.0000 0.3397
In2 In 0.5000 0.1286 0.7102
Ni1 Ni 0.0000 0.0000 0.5854
Ni2 Ni 0.5000 0.1691 0.0880
```


Entry 12:
Material: Dy3In3NiPt2
Method: DFT, GGA-PBE
State: relaxed

```
data_Dy3In3NiPt2
_chemical_formula_sum 'Dy3 In3 Ni1 Pt2'
_symmetry_space_group_name_H-M 'P -6 2 m'
_symmetry_Int_Tables_number 189
_symmetry_space_group_name_Hall 'P -6 -2'
_cell_length_a 7.6121
_cell_length_b 7.6121
_cell_length_c 3.8192
_cell_angle_alpha 90.00
_cell_angle_beta 90.00
_cell_angle_gamma 120.00
loop_
_atom_site_label
_atom_site_type_symbol
_atom_site_fract_x
_atom_site_fract_y
_atom_site_fract_z
Dy1 Dy 0.0000 0.5891 0.0000
In1 In 0.0000 0.2470 0.5000
Ni1 Ni 0.0000 0.0000 0.0000
Pt1 Pt 0.3333 0.6667 0.5000
```


| no. | total energy (eV per formula unit) | V (Å³/cell) | magnetic moment (μB per formula unit) |
| --- | --- | --- | --- |
| 1 | -43.318 | 371.1 | 0.00 |
| 2 | -46.578 | 169.1 | 0.00 |
| 3 | -62.954 | 324.5 | 0.07 |
| 4 | -50.895 | 518.9 | 0.21 |
| 5 | -44.609 | 912.2 | 0.00 |
| 6 | -98.441 | 908.5 | 0.19 |
| 7 | -110.205 | 1136.5 | 0.01 |
| 8 | -43.706 | 187.6 | 0.00 |
| 9 | -44.512 | 193.0 | 0.00 |
| 10 | -40.564 | 148.7 | 0.01 |
| 11 | -43.273 | 373.2 | 0.00 |
| 12 | -47.546 | 191.6 | 0.00 |